Entry 1:
# Zn2Ag4Au5 PBE relaxed
data_Zn2Ag4Au5
_chemical_formula_sum 'Zn4 Ag8 Au10'
_cell_length_a 7.298
_cell_length_b 17.740
_cell_length_c 2.962
_cell_angle_alpha 90.00
_cell_angle_beta 90.00
_cell_angle_gamma 90.00
_space_group_name_H-M_alt 'P b a m'
_space_group_IT_number 55
loop_
_space_group_symop_operation_xyz
'x,y,z'
'-x,-y,-z'
'-x,-y,z'
'x,y,-z'
'x+1/2,-y+1/2,-z'
'-x+1/2,y+1/2,z'
'-x+1/2,y+1/2,-z'
'x+1/2,-y+1/2,z'
loop_
_atom_site_label
_atom_site_fract_x
_atom_site_fract_y
_atom_site_fract_z
Zn1 0.054 0.188 0.000
Ag1 0.069 0.650 0.000
Ag2 0.209 0.926 0.000
Au1 0.000 0.500 0.500
Au2 0.141 0.066 0.500
Au3 0.248 0.285 0.500
# **Formation enthalpy at 0 K**: -0.106 eV/atom
# **Distance to the lowest polymorph of the same formula**: 0 meV per atom
# **Magnetization**: 0.00 μB/cell

=====

Entry 2:
# Y2Ge7Pd12 PBE relaxed
data_Y2Ge7Pd12
_chemical_formula_sum 'Y2 Ge7 Pd12'
_cell_length_a 10.2971
_cell_length_b 10.2971
_cell_length_c 3.8619
_cell_angle_alpha 90.00
_cell_angle_beta 90.00
_cell_angle_gamma 120.00
_space_group_name_H-M_alt 'P -3'
_space_group_IT_number 147
loop_
_space_group_symop_operation_xyz
'x,y,z'
'-x,-y,-z'
'-y,x-y,z'
'y,-x+y,-z'
'-x+y,-x,z'
'x-y,x,-z'
loop_
_atom_site_label
_atom_site_fract_x
_atom_site_fract_y
_atom_site_fract_z
Y1 0.3333 0.6667 0.2453
Ge1 0.0000 0.0000 0.5000
Ge2 0.1199 0.4096 0.7489
Pd1 0.0628 0.6201 0.7509
Pd2 0.1115 0.8528 0.2470
# **Formation enthalpy at 0 K**: -0.683 eV/atom
# **Magnetization**: 0.00 μB/cell

=====

Entry 3:
# CsBa2MgBi PBE relaxed
data_CsBa2MgBi
_chemical_formula_sum 'Cs1 Ba2 Mg1 Bi1'
_cell_length_a 6.961
_cell_length_b 6.961
_cell_length_c 6.024
_cell_angle_alpha 90.00
_cell_angle_beta 90.00
_cell_angle_gamma 90.00
_space_group_name_H-M_alt 'P 4/m m m'
_space_group_IT_number 123
_space_group_name_Hall '-P 4 2'
loop_
_atom_site_label
_atom_site_fract_x
_atom_site_fract_y
_atom_site_fract_z
Cs1 0.000 0.000 0.000
Ba1 0.000 0.500 0.500
Mg1 0.500 0.500 0.000
Bi1 0.500 0.500 0.500
# **Formation enthalpy at 0 K**: -0.115 eV/atom
# **Magnetization**: 0.98 μB/cell

=====

Entry 4:
# ZrMo2Se PBE relaxed
data_ZrMo2Se
_chemical_formula_sum 'Zr1 Mo2 Se1'
_cell_length_a 3.485
_cell_length_b 3.485
_cell_length_c 5.776
_cell_angle_alpha 90.00
_cell_angle_beta 90.00
_cell_angle_gamma 90.00
_space_group_name_H-M_alt 'P 4/m m m'
_space_group_IT_number 123
_space_group_name_Hall '-P 4 2'
loop_
_atom_site_label
_atom_site_fract_x
_atom_site_fract_y
_atom_site_fract_z
Zr1 0.000 0.000 0.000
Mo1 0.500 0.500 0.267
Se1 0.000 0.000 0.500
# **Magnetization**: 0.00 μB/cell
# **ΔE_f (raw)**: 133.1 meV per atom

=====

Entry 5:
# BaSrAl2 PBE relaxed
data_BaSrAl2
_chemical_formula_sum 'Ba1 Sr1 Al2'
_cell_length_a 4.098
_cell_length_b 4.098
_cell_length_c 7.958
_cell_angle_alpha 90.00
_cell_angle_beta 90.00
_cell_angle_gamma 90.00
_space_group_name_H-M_alt 'P 4/m m m'
_space_group_IT_number 123
_space_group_name_Hall '-P 4 2'
loop_
_atom_site_label
_atom_site_fract_x
_atom_site_fract_y
_atom_site_fract_z
Ba1 0.000 0.000 0.000
Sr1 0.000 0.000 0.500
Al1 0.500 0.500 0.291
# **Formation enthalpy at 0 K**: -0.065 eV/atom
# **Distance to the lowest polymorph of the same formula**: 128 meV per atom
# **Magnetization**: 0.00 μB/cell

=====

Entry 6:
# GdB6 PBE relaxed
data_GdB6
_chemical_formula_sum 'Gd1 B6'
_cell_length_a 4.112
_cell_length_b 4.112
_cell_length_c 4.112
_cell_angle_alpha 90.00
_cell_angle_beta 90.00
_cell_angle_gamma 90.00
_space_group_name_H-M_alt 'P m -3 m'
_space_group_IT_number 221
_space_group_name_Hall '-P 4 2 3'
loop_
_atom_site_label
_atom_site_fract_x
_atom_site_fract_y
_atom_site_fract_z
Gd1 0.000 0.000 0.000
B1 0.199 0.500 0.500
# **Formation enthalpy at 0 K**: -0.455 eV/atom
# **Magnetization**: 6.65 μB/cell

=====

Entry 7:
# SrPt2Br PBE relaxed
data_SrPt2Br
_chemical_formula_sum 'Sr1 Pt2 Br1'
_cell_length_a 4.165
_cell_length_b 4.165
_cell_length_c 5.741
_cell_angle_alpha 90.00
_cell_angle_beta 90.00
_cell_angle_gamma 90.00
_space_group_name_H-M_alt 'P 4/m m m'
_space_group_IT_number 123
_space_group_name_Hall '-P 4 2'
loop_
_atom_site_label
_atom_site_fract_x
_atom_site_fract_y
_atom_site_fract_z
Sr1 0.000 0.000 0.000
Pt1 0.500 0.500 0.221
Br1 0.000 0.000 0.500
# **Distance to the lowest polymorph of the same formula**: 562 meV per atom
# **Magnetization**: 1.07 μB/cell
# **ΔE_f (raw)**: -132.4 meV per atom

=====

Entry 8:
# UNi2Ru PBE relaxed
data_UNi2Ru
_chemical_formula_sum 'U4 Ni8 Ru4'
_cell_length_a 6.190
_cell_length_b 6.190
_cell_length_c 6.190
_cell_angle_alpha 90.00
_cell_angle_beta 90.00
_cell_angle_gamma 90.00
_space_group_name_H-M_alt 'F m -3 m'
_space_group_IT_number 225
_space_group_name_Hall '-F 4 2 3'
loop_
_atom_site_label
_atom_site_fract_x
_atom_site_fract_y
_atom_site_fract_z
U1 0.000 0.000 0.000
Ni1 0.250 0.250 0.250
Ru1 0.000 0.000 0.500
# **Formation enthalpy at 0 K**: -0.042 eV/atom
# **Magnetization**: 0.03 μB/cell

=====

Entry 9:
# SbPtN3 PBE relaxed
data_SbPtN3
_chemical_formula_sum 'Sb1 Pt1 N3'
_cell_length_a 3.962
_cell_length_b 3.962
_cell_length_c 3.962
_cell_angle_alpha 90.00
_cell_angle_beta 90.00
_cell_angle_gamma 90.00
_space_group_name_H-M_alt 'P m -3 m'
_space_group_IT_number 221
_space_group_name_Hall '-P 4 2 3'
loop_
_atom_site_label
_atom_site_fract_x
_atom_site_fract_y
_atom_site_fract_z
Sb1 0.000 0.000 0.000
Pt1 0.500 0.500 0.500
N1 0.000 0.500 0.500
# **Magnetization**: 1.22 μB/cell
# **ΔE_f (raw)**: 1636.8 meV per atom

=====

Entry 10:
# Ca2EuTl PBE relaxed
data_Ca2EuTl
_chemical_formula_sum 'Ca8 Eu4 Tl4'
_cell_length_a 8.118
_cell_length_b 8.118
_cell_length_c 8.118
_cell_angle_alpha 90.00
_cell_angle_beta 90.00
_cell_angle_gamma 90.00
_space_group_name_H-M_alt 'F m -3 m'
_space_group_IT_number 225
_space_group_name_Hall '-F 4 2 3'
loop_
_atom_site_label
_atom_site_fract_x
_atom_site_fract_y
_atom_site_fract_z
Ca1 0.250 0.250 0.250
Eu1 0.000 0.000 0.000
Tl1 0.000 0.000 0.500
# **Formation enthalpy at 0 K**: -0.146 eV/atom
# **Distance to the lowest polymorph of the same formula**: 37 meV per atom
# **Magnetization**: 30.49 μB/cell

=====

Entry 11:
# CeTh2Te2Ir2 PBE relaxed
data_CeTh2Te2Ir2
_chemical_formula_sum 'Ce2 Th4 Te4 Ir4'
_cell_length_a 5.040
_cell_length_b 5.040
_cell_length_c 16.317
_cell_angle_alpha 90.00
_cell_angle_beta 90.00
_cell_angle_gamma 90.00
_space_group_name_H-M_alt 'I 4/m m m'
_space_group_IT_number 139
_space_group_name_Hall '-I 4 2'
loop_
_atom_site_label
_atom_site_fract_x
_atom_site_fract_y
_atom_site_fract_z
Ce1 0.000 0.000 0.000
Th1 0.000 0.000 0.385
Te1 0.000 0.000 0.189
Ir1 0.000 0.500 0.000
# **Magnetization**: 0.00 μB/cell
# **ΔE_f (raw)**: -708.3 meV per atom

=====

Entry 12:
# SrCoTe2Ir PBE relaxed
data_SrCoTe2Ir
_chemical_formula_sum 'Sr1 Co1 Te2 Ir1'
_cell_length_a 5.251
_cell_length_b 5.251
_cell_length_c 5.558
_cell_angle_alpha 90.00
_cell_angle_beta 90.00
_cell_angle_gamma 90.00
_space_group_name_H-M_alt 'P 4/m m m'
_space_group_IT_number 123
_space_group_name_Hall '-P 4 2'
loop_
_atom_site_label
_atom_site_fract_x
_atom_site_fract_y
_atom_site_fract_z
Sr1 0.000 0.000 0.000
Co1 0.500 0.500 0.000
Te1 0.000 0.500 0.500
Ir1 0.000 0.000 0.500
# **Magnetization**: 2.18 μB/cell
# **ΔE_f (raw)**: 556.9 meV per atom